Entry 1:
First-principles (PBE-GGA) data for a relaxed Pm5Ga3Bi12 crystal, as listed in the Alexandria database.

The structure in POSCAR format:
```
Pm5Ga3Bi12
1.0
-9.1227 9.1227 9.1227
9.1227 -9.1227 9.1227
9.1227 9.1227 -9.1227
Pm Ga Bi
20 12 48
Cartesian
0.0000 0.0000 0.0000 Pm
4.5613 4.5613 -4.5613 Pm
4.5613 -4.5613 4.5613 Pm
9.1227 0.0000 0.0000 Pm
13.6840 2.2807 0.0000 Pm
9.1227 -4.5613 6.8420 Pm
6.8420 9.1227 -4.5613 Pm
6.8420 0.0000 4.5613 Pm
4.5613 6.8420 0.0000 Pm
9.1227 4.5613 2.2807 Pm
-4.5613 4.5613 4.5613 Pm
0.0000 9.1227 0.0000 Pm
0.0000 0.0000 9.1227 Pm
4.5613 4.5613 4.5613 Pm
0.0000 4.5613 6.8420 Pm
4.5613 2.2807 9.1227 Pm
2.2807 9.1227 4.5613 Pm
2.2807 0.0000 13.6840 Pm
0.0000 13.6840 2.2807 Pm
-4.5613 6.8420 9.1227 Pm
4.5613 2.2807 0.0000 Ga
9.1227 4.5613 -2.2807 Ga
2.2807 0.0000 4.5613 Ga
11.4033 0.0000 4.5613 Ga
0.0000 4.5613 2.2807 Ga
4.5613 -2.2807 9.1227 Ga
4.5613 11.4033 0.0000 Ga
9.1227 4.5613 6.8420 Ga
-2.2807 9.1227 4.5613 Ga
6.8420 9.1227 4.5613 Ga
0.0000 4.5613 11.4033 Ga
4.5613 6.8420 9.1227 Ga
8.6213 -1.7993 2.6754 Bi
14.1854 -1.8859 2.7621 Bi
2.6754 -0.5014 1.7993 Bi
11.0086 6.3606 -5.0627 Bi
1.7993 2.6754 -0.5014 Bi
11.8847 4.0600 -1.8859 Bi
11.7980 0.5014 1.7993 Bi
11.0086 -2.7621 5.0627 Bi
6.3606 5.0627 -1.8859 Bi
7.3234 2.6754 0.5014 Bi
-0.5014 1.7993 2.6754 Bi
5.0627 -1.8859 6.3606 Bi
8.6213 7.3234 -2.6754 Bi
5.0627 1.8859 2.7621 Bi
7.3234 -2.6754 8.6213 Bi
6.3606 -5.0627 11.0086 Bi
2.6754 8.6213 -1.7993 Bi
11.0086 2.7621 4.0600 Bi
2.7621 5.0627 1.8859 Bi
10.9219 6.4473 0.5014 Bi
1.8859 2.7621 5.0627 Bi
2.6754 0.5014 7.3234 Bi
5.0627 11.0086 -2.7621 Bi
8.6213 1.7993 6.4473 Bi
0.5014 7.3234 2.6754 Bi
4.0600 -1.8859 11.8847 Bi
6.4473 8.6213 1.7993 Bi
7.2367 6.3606 4.0600 Bi
-1.7993 2.6754 8.6213 Bi
6.3606 4.0600 7.2367 Bi
-1.8859 6.3606 5.0627 Bi
6.4473 0.5014 10.9219 Bi
2.7621 14.1854 -1.8859 Bi
1.7993 11.7980 0.5014 Bi
4.0600 7.2367 6.3606 Bi
0.5014 1.7993 11.7980 Bi
4.0600 11.0086 2.7621 Bi
9.6240 7.3234 6.4473 Bi
1.7993 6.4473 8.6213 Bi
2.7621 4.0600 11.0086 Bi
-1.8859 11.8847 4.0600 Bi
-2.6754 8.6213 7.3234 Bi
-2.7621 5.0627 11.0086 Bi
7.3234 6.4473 9.6240 Bi
-1.8859 2.7621 14.1854 Bi
6.4473 9.6240 7.3234 Bi
-5.0627 11.0086 6.3606 Bi
0.5014 10.9219 6.4473 Bi
```

## Properties
space group: No. 230
calculated volume: 3037 Å³/cell
E: -316.1 eV for the cell shown



Entry 2:
First-principles (PBE-GGA) data for a relaxed Pm5GaBi3 crystal, as listed in the Alexandria database.

The structure in POSCAR format:
```
Pm5GaBi3
1.0
9.6563 0.0000 0.0000
-4.8282 8.3626 0.0000
0.0000 0.0000 6.5468
Pm Ga Bi
10 2 6
Cartesian
-1.2464 2.1588 1.6367 Pm
-3.5818 6.2038 4.9101 Pm
2.4928 0.0000 1.6367 Pm
1.2464 2.1588 4.9101 Pm
0.0000 5.5751 0.0000 Pm
0.0000 5.5751 3.2734 Pm
4.8282 2.7875 0.0000 Pm
4.8282 2.7875 3.2734 Pm
7.1636 0.0000 4.9101 Pm
3.5818 6.2038 1.6367 Pm
0.0000 0.0000 0.0000 Ga
0.0000 0.0000 3.2734 Ga
-1.8606 3.2227 4.9101 Bi
-2.9675 5.1399 1.6367 Bi
3.7213 0.0000 4.9101 Bi
1.8606 3.2227 1.6367 Bi
5.9350 0.0000 1.6367 Bi
2.9675 5.1399 4.9101 Bi
```

## Properties
space group: No. 193
calculated volume: 529 Å³/cell
E: -91.2 eV for the cell shown



Entry 3:
First-principles (PBE-GGA) data for a relaxed Pm3GaBi crystal, as listed in the Alexandria database.

The structure in POSCAR format:
```
Pm3GaBi
1.0
5.5492 0.0000 0.0000
0.0000 5.5492 0.0000
0.0000 0.0000 5.5492
Pm Ga Bi
3 1 1
Cartesian
0.0000 0.0000 2.7746 Pm
0.0000 2.7746 0.0000 Pm
2.7746 0.0000 0.0000 Pm
0.0000 0.0000 0.0000 Ga
2.7746 2.7746 2.7746 Bi
```

## Properties
ΔE to the lowest computed polymorph: 0.2319 eV/atom
space group: No. 221
calculated volume: 171 Å³/cell
E: -22.6 eV for the cell shown



Entry 4:
First-principles (PBE-GGA) data for a relaxed Pm2GaBi4 crystal, as listed in the Alexandria database.

The structure in POSCAR format:
```
Pm2GaBi4
1.0
8.0488 -2.2958 0.0000
8.0488 2.2958 0.0000
-1.9671 0.0000 6.0692
Pm Ga Bi
2 1 4
Cartesian
2.9150 0.0000 1.4902 Pm
11.2154 0.0000 4.5790 Pm
0.0000 0.0000 0.0000 Ga
0.8473 0.0000 4.3683 Bi
5.5759 0.0000 4.1062 Bi
8.5545 0.0000 1.9630 Bi
13.2831 0.0000 1.7009 Bi
```

## Properties
ΔE to the lowest computed polymorph: 0.1161 eV/atom
space group: No. 12
calculated volume: 224 Å³/cell
E: -30.4 eV for the cell shown



Entry 5:
First-principles (PBE-GGA) data for a relaxed Pm8Ga2Bi crystal, as listed in the Alexandria database.

The structure in POSCAR format:
```
Pm8Ga2Bi
1.0
8.7318 -2.4745 0.0000
8.7318 2.4745 0.0000
-2.8331 0.0000 7.5755
Pm Ga Bi
8 2 1
Cartesian
0.1767 0.0000 1.7814 Pm
0.8241 0.0000 5.7182 Pm
4.0462 0.0000 4.2773 Pm
6.8301 0.0000 0.3174 Pm
7.8006 0.0000 7.2582 Pm
10.5844 0.0000 3.2983 Pm
13.8066 0.0000 1.8574 Pm
14.4540 0.0000 5.7942 Pm
3.2574 0.0000 1.3045 Ga
11.3733 0.0000 6.2710 Ga
7.3153 0.0000 3.7878 Bi
```

## Properties
space group: No. 12
calculated volume: 327 Å³/cell
E: -51.6 eV for the cell shown



Entry 6:
First-principles (PBE-GGA) data for a relaxed PmGa4Bi crystal, as listed in the Alexandria database.

The structure in POSCAR format:
```
PmGa4Bi
1.0
0.0000 4.0364 4.0364
4.0364 0.0000 4.0364
4.0364 4.0364 0.0000
Pm Ga Bi
1 4 1
Cartesian
0.0000 0.0000 0.0000 Pm
3.0262 3.0262 3.0262 Ga
5.0467 5.0467 3.0262 Ga
5.0467 3.0262 5.0467 Ga
3.0262 5.0467 5.0467 Ga
6.0546 6.0546 6.0546 Bi
```

## Properties
space group: No. 216
calculated volume: 132 Å³/cell
E: -22.3 eV for the cell shown



Entry 7:
First-principles (PBE-GGA) data for a relaxed PmGaBi crystal, as listed in the Alexandria database.

The structure in POSCAR format:
```
PmGaBi
1.0
-1.9280 1.9280 5.4162
1.9280 -1.9280 5.4162
1.9280 1.9280 -5.4162
Pm Ga Bi
1 1 1
Cartesian
0.0000 0.0000 0.0000 Pm
0.0000 0.0000 7.3321 Ga
0.0000 0.0000 3.3195 Bi
```

## Properties
ΔE to the lowest computed polymorph: 0.0484 eV/atom
space group: No. 107
calculated volume: 81 Å³/cell
E: -12.8 eV for the cell shown



Entry 8:
First-principles (PBE-GGA) data for a relaxed Pm2GaBi4 crystal, as listed in the Alexandria database.

The structure in POSCAR format:
```
Pm2GaBi4
1.0
4.5973 -4.9368 0.0000
4.5973 4.9368 0.0000
-4.5764 0.0000 4.8670
Pm Ga Bi
2 1 4
Cartesian
2.2987 2.4684 0.0000 Pm
2.2987 -2.4684 0.0000 Pm
-2.2882 0.0000 2.4335 Ga
0.0000 0.0000 0.0000 Bi
0.0105 2.4684 2.4335 Bi
0.0105 -2.4684 2.4335 Bi
4.5973 0.0000 0.0000 Bi
```

## Properties
ΔE to the lowest computed polymorph: 0.0000 eV/atom
space group: No. 12
calculated volume: 221 Å³/cell
E: -31.2 eV for the cell shown



> E of number 2 (Pm5GaBi3)?

-91.2 eV for the cell shown